Entry 1:
LaScPb | PBE | optimized geometry

Structure (CIF):
```
data_LaScPb
_cell_length_a 7.512
_cell_length_b 7.512
_cell_length_c 7.512
_cell_angle_alpha 90.00
_cell_angle_beta 90.00
_cell_angle_gamma 90.00
_space_group_name_H-M_alt 'F -4 3 m'
_space_group_IT_number 216
_space_group_name_Hall 'F -4 2 3'
loop_
_atom_site_label
_atom_site_fract_x
_atom_site_fract_y
_atom_site_fract_z
La1 0.000 0.000 0.000
Sc1 0.250 0.250 0.750
Pb1 0.250 0.250 0.250
```

Computed properties:
The calculated density is 6.1 Mg/m³. The energy is -4.6252 eV/atom. As for the energy above the most stable polymorph in this dataset: 844 meV per atom. The calculation puts the formation energy at 0.36 eV/atom. The spin magnetization is 1.21 μB/f.u.

=====

Entry 2:
La2TbHo4 | PBE | optimized geometry

Structure (CIF):
```
data_La2TbHo4
_cell_length_a 7.188
_cell_length_b 8.031
_cell_length_c 8.804
_cell_angle_alpha 111.23
_cell_angle_beta 90.23
_cell_angle_gamma 102.89
_space_group_name_H-M_alt 'P 1'
_space_group_IT_number 1
loop_
_space_group_symop_operation_xyz
'x,y,z'
loop_
_atom_site_label
_atom_site_fract_x
_atom_site_fract_y
_atom_site_fract_z
La1 0.000 0.000 0.000
La2 0.070 0.285 0.429
La3 0.572 0.285 0.430
La4 0.712 0.848 0.283
Tb1 0.143 0.567 0.856
Tb2 0.288 0.140 0.715
Ho1 0.212 0.849 0.284
Ho2 0.357 0.427 0.139
Ho3 0.428 0.716 0.577
Ho4 0.499 0.996 0.998
Ho5 0.641 0.566 0.856
Ho6 0.784 0.140 0.716
Ho7 0.857 0.425 0.138
Ho8 0.930 0.714 0.575
```

Computed properties:
The calculated density is 7.9 Mg/m³. The energy is -4.6588 eV/atom. As for the energy above the most stable polymorph in this dataset: 0 meV per atom. The calculation puts the formation energy at 0.03 eV/atom. The spin magnetization is 0.00 μB/f.u.

=====

Entry 3:
Zn2MoAs | PBE | optimized geometry

Structure (CIF):
```
data_Zn2MoAs
_cell_length_a 2.872
_cell_length_b 2.872
_cell_length_c 8.353
_cell_angle_alpha 90.00
_cell_angle_beta 90.00
_cell_angle_gamma 90.00
_space_group_name_H-M_alt 'P 4 m m'
_space_group_IT_number 99
loop_
_space_group_symop_operation_xyz
'x,y,z'
'-y,x,z'
'-x,-y,z'
'y,-x,z'
'-x,y,z'
'y,x,z'
'x,-y,z'
'-y,-x,z'
loop_
_atom_site_label
_atom_site_fract_x
_atom_site_fract_y
_atom_site_fract_z
Zn1 0.000 0.000 0.000
Zn2 0.500 0.500 0.221
Mo1 0.500 0.500 0.770
As1 0.000 0.000 0.559
```

Computed properties:
The calculated density is 7.3 Mg/m³. The energy is -4.3072 eV/atom. The calculation puts the formation energy at 0.20 eV/atom. The spin magnetization is 0.09 μB/f.u.

=====

Entry 4:
BaNd2Te4 | PBE | optimized geometry

Structure (CIF):
```
data_BaNd2Te4
_cell_length_a 13.922
_cell_length_b 4.609
_cell_length_c 16.708
_cell_angle_alpha 90.00
_cell_angle_beta 90.00
_cell_angle_gamma 90.00
_space_group_name_H-M_alt 'P n m a'
_space_group_IT_number 62
loop_
_space_group_symop_operation_xyz
'x,y,z'
'-x,-y,-z'
'-x+1/2,-y,z+1/2'
'x+1/2,y,-z+1/2'
'x+1/2,-y+1/2,-z+1/2'
'-x+1/2,y+1/2,z+1/2'
'-x,y+1/2,-z'
'x,-y+1/2,z'
loop_
_atom_site_label
_atom_site_fract_x
_atom_site_fract_y
_atom_site_fract_z
Ba1 0.242 0.250 0.166
Nd1 0.068 0.250 0.392
Nd2 0.078 0.250 0.902
Te1 0.022 0.750 0.783
Te2 0.087 0.250 0.581
Te3 0.134 0.750 0.027
Te4 0.208 0.750 0.328
```

Computed properties:
The calculated density is 5.8 Mg/m³. The energy is -4.9887 eV/atom. As for the energy above the most stable polymorph in this dataset: 0 meV per atom. The spin magnetization is 0.00 μB/f.u. The value obtained for the formation energy (no corrections) is -1556.5 meV per atom.

=====

Entry 5:
RbTeS3 | PBE | optimized geometry

Structure (CIF):
```
data_RbTeS3
_cell_length_a 6.875
_cell_length_b 6.918
_cell_length_c 8.398
_cell_angle_alpha 65.68
_cell_angle_beta 71.70
_cell_angle_gamma 69.18
_space_group_name_H-M_alt 'P -1'
_space_group_IT_number 2
loop_
_space_group_symop_operation_xyz
'x,y,z'
'-x,-y,-z'
loop_
_atom_site_label
_atom_site_fract_x
_atom_site_fract_y
_atom_site_fract_z
Rb1 0.056 0.310 0.317
Te1 0.286 0.003 0.876
S1 0.052 0.854 0.220
S2 0.336 0.302 0.904
S3 0.498 0.123 0.542
```

Computed properties:
The calculated density is 3.1 Mg/m³. The energy is -3.7226 eV/atom. As for the energy above the most stable polymorph in this dataset: 0 meV per atom. The spin magnetization is 0.00 μB/f.u. The value obtained for the formation energy (no corrections) is -424.3 meV per atom.

=====

Entry 6:
RbReNi | PBE | optimized geometry

Structure (CIF):
```
data_RbReNi
_cell_length_a 4.225
_cell_length_b 4.231
_cell_length_c 12.112
_cell_angle_alpha 89.52
_cell_angle_beta 80.61
_cell_angle_gamma 60.05
_space_group_name_H-M_alt 'P 1'
_space_group_IT_number 1
loop_
_space_group_symop_operation_xyz
'x,y,z'
loop_
_atom_site_label
_atom_site_fract_x
_atom_site_fract_y
_atom_site_fract_z
Rb1 0.000 0.000 0.000
Rb2 0.362 0.834 0.404
Re1 0.181 0.918 0.702
Re2 0.848 0.584 0.702
Ni1 0.452 0.280 0.804
Ni2 0.576 0.223 0.600
```

Computed properties:
The calculated density is 5.9 Mg/m³. The energy is -5.8619 eV/atom. As for the energy above the most stable polymorph in this dataset: 4 meV per atom. The calculation puts the formation energy at 0.54 eV/atom. The spin magnetization is 0.00 μB/f.u.

=====

Entry 7:
TbCrS3 | PBE | optimized geometry

Structure (CIF):
```
data_TbCrS3
_cell_length_a 7.672
_cell_length_b 5.956
_cell_length_c 8.648
_cell_angle_alpha 90.00
_cell_angle_beta 97.41
_cell_angle_gamma 90.00
_space_group_name_H-M_alt 'P 1 21/c 1'
_space_group_IT_number 14
loop_
_space_group_symop_operation_xyz
'x,y,z'
'-x,-y,-z'
'-x,y+1/2,-z+1/2'
'x,-y+1/2,z+1/2'
loop_
_atom_site_label
_atom_site_fract_x
_atom_site_fract_y
_atom_site_fract_z
Tb1 0.149 0.240 0.173
Cr1 0.410 0.746 0.576
S1 0.093 0.708 0.111
S2 0.315 0.083 0.941
S3 0.418 0.561 0.827
```

Computed properties:
The calculated density is 5.2 Mg/m³. The energy is -6.6193 eV/atom. As for the energy above the most stable polymorph in this dataset: 0 meV per atom. The spin magnetization is 3.00 μB/f.u. The value obtained for the formation energy (no corrections) is -1292.1 meV per atom.

=====

Entry 8:
LaSeO2F | PBE | optimized geometry

Structure (CIF):
```
data_LaSeO2F
_cell_length_a 4.016
_cell_length_b 4.016
_cell_length_c 4.813
_cell_angle_alpha 90.00
_cell_angle_beta 90.00
_cell_angle_gamma 90.00
_space_group_name_H-M_alt 'P 4/m m m'
_space_group_IT_number 123
_space_group_name_Hall '-P 4 2'
loop_
_atom_site_label
_atom_site_fract_x
_atom_site_fract_y
_atom_site_fract_z
La1 0.000 0.000 0.000
Se1 0.500 0.500 0.500
O1 0.000 0.500 0.500
F1 0.500 0.500 0.000
```

Computed properties:
The calculated density is 5.8 Mg/m³. The energy is -5.4746 eV/atom. The spin magnetization is 0.02 μB/f.u. The value obtained for the formation energy (no corrections) is -1434.7 meV per atom.

=====

Which value of calculated density does entry 1 give?
6.1 Mg/m³

=====

Look up the calculated density of the second one.
7.9 Mg/m³

=====

Copy entry 4 word for word.
BaNd2Te4 | PBE | optimized geometry

Structure (CIF):
```
data_BaNd2Te4
_cell_length_a 13.922
_cell_length_b 4.609
_cell_length_c 16.708
_cell_angle_alpha 90.00
_cell_angle_beta 90.00
_cell_angle_gamma 90.00
_space_group_name_H-M_alt 'P n m a'
_space_group_IT_number 62
loop_
_space_group_symop_operation_xyz
'x,y,z'
'-x,-y,-z'
'-x+1/2,-y,z+1/2'
'x+1/2,y,-z+1/2'
'x+1/2,-y+1/2,-z+1/2'
'-x+1/2,y+1/2,z+1/2'
'-x,y+1/2,-z'
'x,-y+1/2,z'
loop_
_atom_site_label
_atom_site_fract_x
_atom_site_fract_y
_atom_site_fract_z
Ba1 0.242 0.250 0.166
Nd1 0.068 0.250 0.392
Nd2 0.078 0.250 0.902
Te1 0.022 0.750 0.783
Te2 0.087 0.250 0.581
Te3 0.134 0.750 0.027
Te4 0.208 0.750 0.328
```

Computed properties:
The calculated density is 5.8 Mg/m³. The energy is -4.9887 eV/atom. As for the energy above the most stable polymorph in this dataset: 0 meV per atom. The spin magnetization is 0.00 μB/f.u. The value obtained for the formation energy (no corrections) is -1556.5 meV per atom.